{"formula": "Pm2PrNdSm5", "functional": "PBE", "state": "optimized geometry", "cell": [[-4.429, 4.429, 7.922], [4.429, -4.429, 7.922], [4.429, 4.429, -7.922]], "species": ["Pm", "Pm", "Pm", "Pm", "Pr", "Pr", "Nd", "Nd", "Sm", "Sm", "Sm", "Sm", "Sm", "Sm", "Sm", "Sm", "Sm", "Sm"], "frac_coords": [[0.118, 0.618, 0.736], [0.382, 0.118, 0.500], [0.618, 0.882, 0.500], [0.882, 0.382, 0.264], [0.250, 0.250, 0.000], [0.750, 0.750, 0.000], [0.250, 0.750, 0.500], [0.750, 0.250, 0.500], [0.000, 0.000, 0.000], [0.069, 0.157, 0.500], [0.157, 0.657, 0.088], [0.343, 0.431, 0.500], [0.431, 0.931, 0.088], [0.500, 0.500, 0.000], [0.569, 0.069, 0.912], [0.657, 0.569, 0.500], [0.843, 0.343, 0.912], [0.931, 0.843, 0.500]], "delta_e_f_ev_per_atom": 0.252}

{"formula": "Pm3Pr2Nd6Sm", "functional": "PBE", "state": "optimized geometry", "cell": [[3.185, -5.518, 0.000], [3.185, 5.518, 0.000], [-2.143, 0.000, 11.997]], "species": ["Pm", "Pm", "Pm", "Pr", "Pr", "Nd", "Nd", "Nd", "Nd", "Nd", "Nd", "Sm"], "frac_coords": [[0.000, 0.000, 0.000], [0.333, 0.667, 0.000], [0.667, 0.333, 0.000], [0.167, 0.833, 0.500], [0.833, 0.167, 0.500], [0.084, 0.416, 0.249], [0.251, 0.251, 0.751], [0.416, 0.084, 0.249], [0.584, 0.916, 0.751], [0.749, 0.749, 0.249], [0.916, 0.584, 0.751], [0.500, 0.500, 0.500]], "delta_e_f_ev_per_atom": 0.013}

Number 1: total DFT energy (no corrections) -80.76 eV/cell. Number 2: total DFT energy (no corrections) -56.99 eV/cell.